Record 1
The following is a meta-GGA SCAN calculation of TlSb2Te2 at its PBEsol-relaxed geometry, from Alexandria.

Structure (POSCAR):
```
TlSb2Te2
1.0
-2.164 2.164 8.200
2.164 -2.164 8.200
2.164 2.164 -8.200
Tl Sb Te
1 2 2
Cartesian
0.000 0.000 0.000
2.164 0.000 4.100
0.000 2.164 4.100
0.000 0.000 6.680
0.000 0.000 9.721
```

## Properties
Formation energy (no corrections)   0.581 eV/f.u.
Total DFT energy (no corrections)   -220.80 eV for the cell shown
DOS(E_F)   4.03 states/eV/f.u.

Record 2
The following is a meta-GGA SCAN calculation of ReOs at its PBEsol-relaxed geometry, from Alexandria.

Structure (POSCAR):
```
ReOs
1.0
2.743 0.000 0.000
-1.371 2.375 0.000
0.000 0.000 4.359
Re Os
1 1
Cartesian
0.000 0.000 0.000
0.000 1.583 2.180
```

## Properties
Energy above the lowest structure with this stoichiometry   14 meV per atom
Total DFT energy (no corrections)   -143.18 eV for the cell shown
Formation enthalpy at 0 K   -0.100 eV per atom
DOS(E_F)   0.96 states/eV/f.u.

Record 3
The following is a meta-GGA SCAN calculation of Cr2RePb at its PBEsol-relaxed geometry, from Alexandria.

Structure (POSCAR):
```
Cr2RePb
1.0
4.529 -1.485 0.000
4.529 1.485 0.000
-1.245 0.000 4.501
Cr Re Pb
2 1 1
Cartesian
0.000 0.000 0.000
6.288 0.000 0.903
3.660 0.000 1.797
1.213 0.000 3.208
```

## Properties
Total DFT energy (no corrections)   -181.28 eV for the cell shown
Formation enthalpy at 0 K   0.592 eV per atom
DOS(E_F)   2.53 states/eV/f.u.

Record 4
The following is a meta-GGA SCAN calculation of K6Cd4Sn3Se13 at its PBEsol-relaxed geometry, from Alexandria.

Structure (POSCAR):
```
K6Cd4Sn3Se13
1.0
7.378 4.260 5.215
-7.378 4.260 5.215
0.000 -8.520 5.215
K Cd Sn Se
6 4 3 13
Cartesian
-3.201 -1.848 5.215
-4.206 -2.428 10.084
3.201 -1.848 5.215
0.000 3.696 5.215
4.206 -2.428 10.084
0.000 4.856 10.084
0.000 -5.996 6.854
-5.192 2.998 6.854
0.000 0.000 5.015
5.192 2.998 6.854
0.000 -3.964 3.742
-3.433 1.982 3.742
3.433 1.982 3.742
0.000 -6.430 4.275
-5.569 3.215 4.275
0.000 0.000 2.437
-2.168 -4.736 7.663
-5.186 0.490 7.663
0.000 -2.519 5.859
-2.181 1.259 5.859
2.168 -4.736 7.663
-3.017 4.246 7.663
2.181 1.259 5.859
5.569 3.215 4.275
5.186 0.490 7.663
3.017 4.246 7.663
```

## Properties
Formation energy (no corrections)   -22.728 eV/f.u.
Total DFT energy (no corrections)   -563.14 eV for the cell shown
DOS(E_F)   0.00 states/eV/f.u.

Record 5
The following is a meta-GGA SCAN calculation of CrTeRu2 at its PBEsol-relaxed geometry, from Alexandria.

Structure (POSCAR):
```
CrTeRu2
1.0
2.974 0.000 0.000
0.000 3.786 0.000
0.000 0.000 5.403
Cr Te Ru
1 1 2
Cartesian
0.000 0.000 0.000
1.487 1.893 3.665
0.000 0.000 2.529
1.487 1.893 0.876
```

## Properties
Formation energy (no corrections)   0.989 eV/f.u.
Total DFT energy (no corrections)   -124.30 eV for the cell shown
DOS(E_F)   3.57 states/eV/f.u.

Record 6
The following is a meta-GGA SCAN calculation of BeSi2Ir at its PBEsol-relaxed geometry, from Alexandria.

Structure (POSCAR):
```
BeSi2Ir
1.0
4.067 -1.426 0.000
4.067 1.426 0.000
-0.352 0.000 4.232
Be Si Ir
1 2 1
Cartesian
0.000 0.000 0.000
1.646 0.000 3.197
3.725 0.000 2.047
5.945 0.000 1.002
```

## Properties
Formation energy (no corrections)   -0.911 eV/f.u.
Total DFT energy (no corrections)   -96.40 eV for the cell shown
DOS(E_F)   0.82 states/eV/f.u.

Record 7
The following is a meta-GGA SCAN calculation of NaZn2SiPb at its PBEsol-relaxed geometry, from Alexandria.

Structure (POSCAR):
```
NaZn2SiPb
1.0
5.299 0.000 0.000
0.000 5.299 0.000
0.000 0.000 5.484
Na Zn Si Pb
1 2 1 1
Cartesian
0.000 0.000 0.000
0.000 2.650 2.742
2.650 0.000 2.742
2.650 2.650 0.000
2.650 2.650 2.742
```

## Properties
Formation energy (no corrections)   3.874 eV/f.u.
Total DFT energy (no corrections)   -113.17 eV for the cell shown
DOS(E_F)   3.31 states/eV/f.u.

Record 8
The following is a meta-GGA SCAN calculation of LaCoBiSe2 at its PBEsol-relaxed geometry, from Alexandria.

Structure (POSCAR):
```
LaCoBiSe2
1.0
4.806 0.000 0.000
0.000 4.806 0.000
0.000 0.000 4.812
La Co Bi Se
1 1 1 2
Cartesian
0.000 0.000 0.000
0.000 0.000 2.406
2.403 2.403 0.000
0.000 2.403 2.406
2.403 0.000 2.406
```

## Properties
Formation energy (no corrections)   -2.007 eV/f.u.
Total DFT energy (no corrections)   -181.15 eV for the cell shown
DOS(E_F)   2.68 states/eV/f.u.

Record 9
The following is a meta-GGA SCAN calculation of KZnNi2 at its PBEsol-relaxed geometry, from Alexandria.

Structure (POSCAR):
```
KZnNi2
1.0
2.972 0.000 0.000
0.000 2.972 0.000
0.000 0.000 7.625
K Zn Ni
1 1 2
Cartesian
0.000 0.000 0.000
1.486 1.486 4.870
0.000 0.000 3.552
1.486 1.486 2.413
```

## Properties
Total DFT energy (no corrections)   -52.63 eV for the cell shown
Formation enthalpy at 0 K   0.391 eV per atom
DOS(E_F)   2.37 states/eV/f.u.

Record 10
The following is a meta-GGA SCAN calculation of BaCu3 at its PBEsol-relaxed geometry, from Alexandria.

Structure (POSCAR):
```
BaCu3
1.0
7.527 0.000 0.000
0.000 6.706 0.000
0.000 0.000 6.041
Ba Cu
4 12
Cartesian
0.200 1.677 0.732
3.563 5.030 3.752
3.964 1.677 2.289
7.327 5.030 5.309
1.063 0.464 3.486
1.063 2.889 3.486
1.106 5.030 2.056
2.658 1.677 5.077
2.701 3.817 0.465
2.701 6.243 0.465
4.826 0.464 5.576
4.826 2.889 5.576
4.869 5.030 0.964
6.421 1.677 3.985
6.464 3.817 2.556
6.464 6.243 2.556
```

## Properties
Total DFT energy (no corrections)   -339.29 eV for the cell shown
Formation enthalpy at 0 K   0.081 eV per atom
DOS(E_F)   1.57 states/eV/f.u.

Record 11
The following is a meta-GGA SCAN calculation of NiIrPt2 at its PBEsol-relaxed geometry, from Alexandria.

Structure (POSCAR):
```
NiIrPt2
1.0
4.438 -1.354 0.000
4.438 1.354 0.000
-0.877 0.000 4.573
Ni Ir Pt
1 1 2
Cartesian
0.000 0.000 0.000
6.346 0.000 1.121
1.566 0.000 3.472
3.942 0.000 2.231
```

## Properties
Energy above the lowest structure with this stoichiometry   61 meV per atom
Total DFT energy (no corrections)   -227.79 eV for the cell shown
Formation enthalpy at 0 K   -0.032 eV per atom
DOS(E_F)   3.47 states/eV/f.u.

Record 12
The following is a meta-GGA SCAN calculation of Cu2BrO at its PBEsol-relaxed geometry, from Alexandria.

Structure (POSCAR):
```
Cu2BrO
1.0
-2.443 2.443 5.199
2.443 -2.443 5.199
2.443 2.443 -5.199
Cu Br O
4 2 2
Cartesian
3.664 0.613 -1.300
0.613 1.221 1.300
-1.221 1.830 3.899
1.830 1.221 6.499
2.443 0.000 2.600
0.000 0.000 5.199
0.000 0.000 0.000
0.000 2.443 2.600
```

## Properties
Formation energy (no corrections)   -1.850 eV/f.u.
Total DFT energy (no corrections)   -115.88 eV for the cell shown
DOS(E_F)   1.35 states/eV/f.u.